# 1
Entry from Alexandria: crystalline CaAcAlAg at its relaxed geometry (PBE).

abc: 5.465 5.465 5.465
angles: 60.00 60.00 60.00
Fractional coordinates of all 4 atoms:
Al 0.750 0.750 0.750
Ca 0.500 0.500 0.500
Ag 0.250 0.250 0.250
Ac 0.000 0.000 0.000

ΔH_f (0 K) (eV per atom): -0.257
Space group: F-43m, No. 216

# 2
Entry from Alexandria: crystalline Ac3Al2CdAg6 at its relaxed geometry (PBE).

abc: 6.361 6.361 9.015
angles: 90.00 90.00 120.00
Fractional coordinates of all 12 atoms:
Al 0.667 0.333 0.972
Al 0.333 0.667 0.028
Ac 0.667 0.333 0.369
Ac 0.000 0.000 0.000
Ac 0.333 0.667 0.631
Ag 0.816 0.633 0.725
Ag 0.816 0.184 0.725
Ag 0.633 0.816 0.275
Ag 0.367 0.184 0.725
Ag 0.184 0.816 0.275
Ag 0.184 0.367 0.275
Cd 0.000 0.000 0.500

ΔH_f (0 K) (eV per atom): -0.085
Space group: P-3m1, No. 164

# 3
Entry from Alexandria: crystalline Ac2Al3Cd4Ag at its relaxed geometry (PBE).

abc: 4.654 4.654 11.486
angles: 90.00 90.00 90.00
Fractional coordinates of all 10 atoms:
Ac 0.000 0.500 0.749
Ac 0.500 0.000 0.251
Al 0.500 0.000 0.864
Al 0.000 0.500 0.136
Al 0.000 0.000 0.500
Cd 0.000 0.000 0.000
Cd 0.500 0.500 0.000
Cd 0.000 0.500 0.368
Cd 0.500 0.000 0.632
Ag 0.500 0.500 0.500

ΔH_f (0 K) (eV per atom): -0.266
Space group: P-4m2, No. 115

# 4
Entry from Alexandria: crystalline AcAlCd2Ag4 at its relaxed geometry (PBE).

abc: 4.733 4.733 9.656
angles: 75.81 75.81 60.00
Fractional coordinates of all 8 atoms:
Ag 0.864 0.864 0.409
Ag 0.136 0.136 0.591
Ag 0.597 0.597 0.210
Ag 0.403 0.403 0.790
Al 0.500 0.500 0.500
Cd 0.243 0.243 0.270
Cd 0.757 0.757 0.730
Ac 0.000 0.000 0.000

ΔH_f (0 K) (eV per atom): -0.126
Space group: R-3m, No. 166

# 5
Entry from Alexandria: crystalline AcAl2CdAg4 at its relaxed geometry (PBE).

abc: 4.554 4.554 10.063
angles: 76.92 76.92 60.00
Fractional coordinates of all 8 atoms:
Al 0.244 0.244 0.268
Al 0.756 0.756 0.732
Ag 0.874 0.874 0.377
Ag 0.404 0.404 0.788
Ag 0.126 0.126 0.623
Ag 0.596 0.596 0.212
Ac 0.000 0.000 0.000
Cd 0.500 0.500 0.500

ΔH_f (0 K) (eV per atom): -0.138
Space group: R-3m, No. 166

# 6
Entry from Alexandria: crystalline AcAlCdAg at its relaxed geometry (PBE).

abc: 5.231 5.231 5.231
angles: 60.00 60.00 60.00
Fractional coordinates of all 4 atoms:
Al 0.000 0.000 0.000
Ag 0.250 0.250 0.250
Ac 0.500 0.500 0.500
Cd 0.750 0.750 0.750

ΔH_f (0 K) (eV per atom): -0.173
Space group: F-43m, No. 216

# 7
Entry from Alexandria: crystalline AcAl3CuAg at its relaxed geometry (PBE).

abc: 6.320 6.317 7.109
angles: 116.38 90.00 90.00
Fractional coordinates of all 12 atoms:
Ag 0.750 0.645 0.291
Ag 0.250 0.355 0.709
Al 0.500 0.716 0.000
Al 0.750 0.862 0.725
Al 0.000 0.716 0.000
Al 0.000 0.284 0.000
Al 0.500 0.284 0.000
Al 0.250 0.138 0.275
Ac 0.750 0.278 0.556
Ac 0.250 0.722 0.444
Cu 0.750 0.054 0.108
Cu 0.250 0.946 0.892

ΔH_f (0 K) (eV per atom): -0.140
Space group: Cmcm, No. 63

# 8
Entry from Alexandria: crystalline Ac2Al4CuAg3 at its relaxed geometry (PBE).

abc: 4.537 4.537 10.793
angles: 90.00 90.00 90.00
Fractional coordinates of all 10 atoms:
Al 0.500 0.000 0.620
Al 0.500 0.500 0.000
Al 0.000 0.500 0.380
Al 0.000 0.000 0.000
Cu 0.500 0.500 0.500
Ag 0.000 0.500 0.133
Ag 0.500 0.000 0.867
Ag 0.000 0.000 0.500
Ac 0.500 0.000 0.258
Ac 0.000 0.500 0.742

ΔH_f (0 K) (eV per atom): -0.317
Space group: P-4m2, No. 115

Number 1: V 115.41 Å³ per cell, E -3.433 eV/atom. Number 2: V 315.84 Å³ per cell, E -3.238 eV/atom. Number 3: V 248.82 Å³ per cell, E -2.862 eV/atom. Number 4: V 179.65 Å³ per cell, E -2.762 eV/atom. Number 5: V 174.46 Å³ per cell, E -3.128 eV/atom. Number 6: V 101.23 Å³ per cell, E -3.077 eV/atom. Number 7: V 254.25 Å³ per cell, E -3.854 eV/atom. Number 8: V 222.14 Å³ per cell, E -3.901 eV/atom.